Entry from OQMD via LeMat-Bulk: a relaxed structure of HoCo2Si2 (PBE-GGA).

Lattice parameters (Å, degrees): 5.569 5.569 5.569 139.41 139.41 58.75
Fractional positions:
Ho 0.000 0.000 0.000
Co 0.250 0.750 0.500
Co 0.750 0.250 0.500
Si 0.373 0.373 0.000
Si 0.627 0.627 0.000

Values from the calculation:
electronic total energy: -6.76 eV per atom

Entry from OQMD via LeMat-Bulk: a relaxed structure of Y2Pa2O5 (PBE-GGA).

Lattice parameters (Å, degrees): 4.253 4.253 8.768 90.00 90.00 90.00
Fractional positions:
Y 0.000 0.000 0.000
Y 0.000 0.000 0.500
Pa 0.500 0.500 0.248
Pa 0.500 0.500 0.752
O 0.000 0.500 0.325
O 0.000 0.500 0.675
O 0.500 0.000 0.325
O 0.500 0.000 0.675
O 0.500 0.500 0.500

Values from the calculation:
electronic total energy: -8.40 eV per atom

Entry from OQMD via LeMat-Bulk: a relaxed structure of Zr3Au (PBE-GGA).

Lattice parameters (Å, degrees): 6.149 6.149 5.163 90.00 90.00 120.00
Fractional positions:
Zr 0.171 0.341 0.250
Zr 0.171 0.829 0.250
Zr 0.341 0.171 0.750
Zr 0.659 0.829 0.250
Zr 0.829 0.171 0.750
Zr 0.829 0.659 0.750
Au 0.333 0.667 0.750
Au 0.667 0.333 0.250

Values from the calculation:
energy relative to the elements: -0.2057 eV per atom

Entry from OQMD via LeMat-Bulk: a relaxed structure of YBeMo (PBE-GGA).

Lattice parameters (Å, degrees): 4.499 4.499 4.499 60.00 60.00 60.00
Fractional positions:
Y 0.000 0.000 0.000
Be 0.750 0.750 0.750
Mo 0.250 0.250 0.250

Values from the calculation:
electronic total energy: -5.44 eV per atom

Entry from OQMD via LeMat-Bulk: a relaxed structure of NaZr (PBE-GGA).

Lattice parameters (Å, degrees): 6.457 5.150 9.386 90.00 99.20 90.00
Fractional positions:
Na 0.022 0.250 0.106
Na 0.306 0.750 0.224
Na 0.472 0.750 0.891
Na 0.528 0.250 0.109
Na 0.694 0.250 0.776
Na 0.978 0.750 0.894
Zr 0.136 0.750 0.547
Zr 0.184 0.250 0.719
Zr 0.354 0.250 0.447
Zr 0.646 0.750 0.553
Zr 0.816 0.750 0.281
Zr 0.864 0.250 0.453

Values from the calculation:
electronic total energy: -4.55 eV per atom

Entry from OQMD via LeMat-Bulk: a relaxed structure of ThBiSb (PBE-GGA).

Lattice parameters (Å, degrees): 5.253 5.253 5.253 60.00 60.00 60.00
Fractional positions:
Th 0.000 0.000 0.000
Bi 0.500 0.500 0.500
Sb 0.250 0.250 0.250

Values from the calculation:
electronic total energy: -5.34 eV per atom

Entry from OQMD via LeMat-Bulk: a relaxed structure of Gd2HoEr3CoTe2 (PBE-GGA).

Lattice parameters (Å, degrees): 3.925 8.346 8.346 120.63 90.00 90.00
Fractional positions:
Gd 0.000 0.201 0.799
Gd 0.000 0.799 0.201
Ho 0.000 0.408 0.408
Er 0.500 0.032 0.032
Er 0.500 0.568 0.803
Er 0.500 0.803 0.568
Co 0.000 0.783 0.783
Te 0.500 0.135 0.465
Te 0.500 0.465 0.135

Values from the calculation:
electronic total energy: -5.24 eV per atom

Entry from OQMD via LeMat-Bulk: a relaxed structure of ScBeCoBi (PBE-GGA).

Lattice parameters (Å, degrees): 4.551 4.551 4.551 60.00 60.00 60.00
Fractional positions:
Sc 0.000 0.000 0.000
Be 0.250 0.250 0.250
Co 0.500 0.500 0.500
Bi 0.750 0.750 0.750

Values from the calculation:
electronic total energy: -5.06 eV per atom

Entry from OQMD via LeMat-Bulk: a relaxed structure of ZnB4W (PBE-GGA).

Lattice parameters (Å, degrees): 2.983 2.983 7.155 90.00 90.00 120.00
Fractional positions:
Zn 0.000 0.000 0.000
B 0.333 0.667 0.261
B 0.333 0.667 0.739
B 0.667 0.333 0.261
B 0.667 0.333 0.739
W 0.000 0.000 0.500

Values from the calculation:
electronic total energy: -6.79 eV per atom

Entry from OQMD via LeMat-Bulk: a relaxed structure of NpUNi (PBE-GGA).

Lattice parameters (Å, degrees): 4.238 4.238 4.238 60.00 60.00 60.00
Fractional positions:
Np 0.000 0.000 0.000
U 0.750 0.750 0.750
Ni 0.500 0.500 0.500

Values from the calculation:
energy relative to the elements: 0.1448 eV per atom

Entry from OQMD via LeMat-Bulk: a relaxed structure of LaMgTcTe (PBE-GGA).

Lattice parameters (Å, degrees): 5.016 5.016 5.016 60.00 60.00 60.00
Fractional positions:
La 0.000 0.000 0.000
Mg 0.750 0.750 0.750
Tc 0.500 0.500 0.500
Te 0.250 0.250 0.250

Values from the calculation:
electronic total energy: -4.98 eV per atom

Entry from OQMD via LeMat-Bulk: a relaxed structure of TaFeBiW (PBE-GGA).

Lattice parameters (Å, degrees): 4.592 4.592 4.592 60.00 60.00 60.00
Fractional positions:
Ta 0.000 0.000 0.000
Fe 0.750 0.750 0.750
Bi 0.500 0.500 0.500
W 0.250 0.250 0.250

Values from the calculation:
electronic total energy: -8.65 eV per atom